Entry 1:
Cs3FeF | PBE+U | optimized geometry

Offset from the most stable computed form   0 meV per atom
Symmetry   Pm-3m
D(E_F)   3.42 states/eV per atom
Final energy   -2.367 eV/atom

Unit cell a=6.1001 b=6.1001 c=6.1001 alpha=90.00 beta=90.00 gamma=90.00
With the nearest neighbours (Å) after each atom.
Sites, in units of the cell vectors:
Cs  0.0000  0.0000  0.5000  2 F 3.05
F  0.0000  0.0000  0.0000  6 Cs 3.05
Fe  0.5000  0.5000  0.5000  12 Cs 4.31
Cs  0.0000  0.5000  0.0000  2 F 3.05
Cs  0.5000  0.0000  0.0000  2 F 3.05

Entry 2:
CsFeF2 | PBE+U | optimized geometry

Offset from the most stable computed form   322 meV per atom
Symmetry   Fm-3m
D(E_F)   0.00 states/eV per atom
Final energy   -3.897 eV/atom

Unit cell a=4.7069 b=4.7069 c=4.7069 alpha=60.00 beta=60.00 gamma=60.00
With the nearest neighbours (Å) after each atom.
Sites, in units of the cell vectors:
F  0.7500  0.7500  0.7500  4 Cs 2.88, 4 Fe 2.88
Cs  0.5000  0.5000  0.5000  8 F 2.88
F  0.2500  0.2500  0.2500  4 Cs 2.88, 4 Fe 2.88
Fe  0.0000  0.0000  0.0000  8 F 2.88

Entry 3:
CsFeF3 | PBE+U | optimized geometry

Symmetry   Pmma
D(E_F)   0.00 states/eV per atom
Final energy   -4.960 eV/atom

Unit cell a=4.2841 b=6.3952 c=7.0801 alpha=90.00 beta=90.00 gamma=90.00
With the nearest neighbours (Å) after each atom.
Sites, in units of the cell vectors:
Fe  0.5000  0.7500  0.1848  5 F 1.92-2.14
F  0.5000  0.2500  0.5436  1 Fe 1.92
F  0.0000  0.2500  0.8237  2 Fe 2.14
F  0.0000  0.7500  0.1763  2 Fe 2.14
Cs  0.0000  0.2500  0.2692  3 F 2.89-3.15
F  0.5000  0.7500  0.4564  1 Fe 1.92
Cs  0.0000  0.7500  0.7308  3 F 2.89-3.15
F  0.5000  0.0000  0.0000  2 Fe 2.07
F  0.5000  0.5000  0.0000  2 Fe 2.07
Fe  0.5000  0.2500  0.8152  5 F 1.92-2.14

Entry 4:
CsFe2F | PBE+U | optimized geometry

Symmetry   Fm-3m
D(E_F)   1.12 states/eV per atom
Final energy   -2.756 eV/atom

Unit cell a=5.2503 b=5.2503 c=5.2503 alpha=60.00 beta=60.00 gamma=60.00
With the nearest neighbours (Å) after each atom.
Sites, in units of the cell vectors:
Fe  0.2500  0.2500  0.2500  4 F 3.22, 4 Cs 3.22
Cs  0.5000  0.5000  0.5000  8 Fe 3.22
Fe  0.7500  0.7500  0.7500  4 F 3.22, 4 Cs 3.22
F  0.0000  0.0000  0.0000  8 Fe 3.22

Entry 5:
Cs3Fe2F7 | PBE+U | optimized geometry

Symmetry   Cmmm
D(E_F)   0.00 states/eV per atom
Final energy   -4.853 eV/atom

Unit cell a=4.3566 b=4.4065 c=12.2817 alpha=100.33 beta=90.00 gamma=90.00
With the nearest neighbours (Å) after each atom.
Sites, in units of the cell vectors:
F  0.0000  0.8286  0.6573  1 Fe 2.02
Cs  0.5000  0.3239  0.6478  8 F 3.03-3.10
F  0.0000  0.1714  0.3427  1 Fe 2.02
Fe  0.0000  0.9123  0.8245  6 F 2.02-2.20
Cs  0.5000  0.6761  0.3522  8 F 3.03-3.10
F  0.0000  0.5887  0.1774  2 Fe 2.20
F  0.5000  0.9115  0.8230  2 Fe 2.18
Cs  0.5000  0.5000  0.0000  12 F 3.06-3.10
F  0.5000  0.0885  0.1770  2 Fe 2.18
F  0.0000  0.4113  0.8226  2 Fe 2.20
Fe  0.0000  0.0877  0.1755  6 F 2.02-2.20
F  0.0000  0.0000  0.0000  2 Fe 2.12

Entry 6:
Cs2Fe3F10 | PBE+U | optimized geometry

Symmetry   C2/m
Final energy   -5.068 eV/atom

Unit cell a=6.5483 b=8.3078 c=10.2650 alpha=111.98 beta=108.60 gamma=90.00
With the nearest neighbours (Å) after each atom.
Sites, in units of the cell vectors:
Fe  0.2526  0.0000  0.0000  6 F 2.08-2.25
F  0.6801  0.9903  0.7842  2 Fe 1.98-2.09
F  0.8638  0.2517  0.7277  1 Fe 1.96
Cs  0.2907  0.6836  0.5814  6 F 2.89-3.16
F  0.8959  0.0097  0.2158  2 Fe 1.98-2.09
F  0.7696  0.7536  0.5391  1 Fe 1.86
Fe  0.0748  0.4589  0.1497  5 F 1.85-2.03
F  0.6457  0.5314  0.7247  1 Fe 1.85
F  0.1362  0.7483  0.2723  1 Fe 1.96
F  0.3199  0.0097  0.2158  2 Fe 1.98-2.09
F  0.1041  0.9903  0.7842  2 Fe 1.98-2.09
Cs  0.7093  0.3164  0.4186  6 F 2.89-3.16
Fe  0.9252  0.5411  0.8503  5 F 1.85-2.03
Fe  0.1793  0.0048  0.3586  4 F 1.86-1.98
F  0.9210  0.4686  0.2753  1 Fe 1.85
F  0.0000  0.0000  0.5000  2 Fe 2.15
F  0.2304  0.2464  0.4609  1 Fe 1.86
F  0.0790  0.5314  0.7247  1 Fe 1.85
F  0.9749  0.8019  0.9498  1 Fe 1.99
F  0.5000  0.0000  0.5000  2 Fe 2.15
Cs  0.6094  0.7182  0.2189  12 F 2.99-3.31
Fe  0.7474  0.0000  0.0000  6 F 2.08-2.25
Cs  0.3906  0.2818  0.7811  12 F 2.99-3.31
F  0.4772  0.8301  0.9545  2 Fe 2.08
F  0.3543  0.4686  0.2753  1 Fe 1.85
Fe  0.8207  0.9952  0.6414  4 F 1.86-1.98
F  0.8140  0.5000  0.0000  2 Fe 2.03
F  0.5228  0.1699  0.0455  2 Fe 2.08
F  0.0251  0.1981  0.0502  1 Fe 1.99
F  0.1860  0.5000  0.0000  2 Fe 2.03

Entry 7:
CsFeF3 | PBE+U | optimized geometry

Symmetry   C2/m
D(E_F)   0.00 states/eV per atom
Final energy   -4.978 eV/atom

Unit cell a=4.2727 b=7.4206 c=7.9741 alpha=114.52 beta=105.54 gamma=90.00
With the nearest neighbours (Å) after each atom.
Sites, in units of the cell vectors:
F  0.9352  0.7774  0.8705  1 Fe 1.93
Cs  0.3942  0.0681  0.7884  7 F 2.97-3.28
F  0.3102  0.5123  0.6205  3 Fe 2.12-2.16
F  0.6898  0.4877  0.3795  3 Fe 2.12-2.16
F  0.0648  0.2226  0.1295  1 Fe 1.93
F  0.8164  0.2348  0.6328  1 Fe 1.95
F  0.1836  0.7652  0.3672  1 Fe 1.95
Fe  0.1681  0.4898  0.3362  5 F 1.93-2.16
Cs  0.6058  0.9319  0.2116  7 F 2.97-3.28
Fe  0.8319  0.5102  0.6638  5 F 1.93-2.16

Entry 8:
CsFeF3 | PBE+U | optimized geometry

Symmetry   P6_3/mmc
D(E_F)   0.00 states/eV per atom
Final energy   -5.018 eV/atom

Unit cell a=6.2975 b=6.2975 c=14.8134 alpha=90.00 beta=90.00 gamma=120.00
With the nearest neighbours (Å) after each atom.
Sites, in units of the cell vectors:
Cs  0.3333  0.6667  0.4039  12 F 3.07-3.17
F  0.6678  0.8339  0.9213  2 Fe 2.13-2.15
F  0.8339  0.1661  0.4213  2 Fe 2.13-2.15
F  0.5222  0.4778  0.2500  2 Fe 2.14
Cs  0.0000  0.0000  0.7500  12 F 3.12-3.16
Cs  0.0000  0.0000  0.2500  12 F 3.12-3.16
F  0.8339  0.6678  0.0787  2 Fe 2.13-2.15
F  0.1661  0.3322  0.5787  2 Fe 2.13-2.15
Fe  0.0000  0.0000  0.5000  6 F 2.15
F  0.1661  0.3322  0.9213  2 Fe 2.13-2.15
F  0.9556  0.4778  0.2500  2 Fe 2.14
F  0.1661  0.8339  0.5787  2 Fe 2.13-2.15
F  0.8339  0.6678  0.4213  2 Fe 2.13-2.15
F  0.3322  0.1661  0.4213  2 Fe 2.13-2.15
Cs  0.3333  0.6667  0.0961  12 F 3.07-3.17
F  0.3322  0.1661  0.0787  2 Fe 2.13-2.15
Fe  0.6667  0.3333  0.3474  6 F 2.13-2.14
Cs  0.6667  0.3333  0.5961  12 F 3.07-3.17
Fe  0.6667  0.3333  0.1526  6 F 2.13-2.14
F  0.5222  0.0444  0.2500  2 Fe 2.14
Cs  0.6667  0.3333  0.9039  12 F 3.07-3.17
F  0.8339  0.1661  0.0787  2 Fe 2.13-2.15
F  0.4778  0.9556  0.7500  2 Fe 2.14
F  0.1661  0.8339  0.9213  2 Fe 2.13-2.15
F  0.0444  0.5222  0.7500  2 Fe 2.14
F  0.4778  0.5222  0.7500  2 Fe 2.14
F  0.6678  0.8339  0.5787  2 Fe 2.13-2.15
Fe  0.0000  0.0000  0.0000  6 F 2.15
Fe  0.3333  0.6667  0.6526  6 F 2.13-2.14
Fe  0.3333  0.6667  0.8474  6 F 2.13-2.14

Number 1: size of the total moment 3.20 Bohr magnetons per cell. Number 2: size of the total moment 3.00 Bohr magnetons per cell. Number 3: size of the total moment 8.00 Bohr magnetons per cell. Number 4: size of the total moment 7.05 Bohr magnetons per cell. Number 5: size of the total moment 8.00 Bohr magnetons per cell. Number 6: size of the total moment 28.00 Bohr magnetons per cell. Number 7: size of the total moment 8.00 Bohr magnetons per cell. Number 8: size of the total moment 24.00 Bohr magnetons per cell.